Pm2PrEr6Tm3 | PBE | optimized geometry

Cell and atoms, written as extended XYZ:
```
12
Lattice="3.073 -5.317 0.000 3.073 5.317 0.000 -2.045 0.000 11.533" Properties=species:S:1:pos:R:3 pbc="T T T"
Pm 3.073 3.545 0.000
Pm 3.073 -3.545 0.000
Pr 3.073 0.000 0.000
Er -0.006 1.774 8.593
Er 1.030 0.000 2.940
Er -0.006 -1.774 8.593
Er 4.106 1.774 2.940
Er 3.070 0.000 8.593
Er 4.106 -1.774 2.940
Tm -1.023 0.000 5.767
Tm 2.050 1.773 5.767
Tm 2.050 -1.773 5.767
```

Output
The total energy comes out at -54.8 eV/f.u. As for the density of states at the Fermi level: 16.66 states/eV per cell.

Cd2TeP | PBE | optimized geometry

Cell and atoms, written as extended XYZ:
```
4
Lattice="3.616 0.000 0.000 0.000 4.540 0.000 0.000 0.000 7.130" Properties=species:S:1:pos:R:3 pbc="T T T"
Cd 0.000 0.000 0.000
Cd 1.808 2.270 2.991
Te 1.808 0.000 4.734
P 0.000 2.270 1.146
```

Output
As for the energy relative to the elements, uncorrected: -0.066 eV per atom. As for the density of states at the Fermi level: 0.87 states/eV per cell.

KScRh | PBE | optimized geometry

Cell and atoms, written as extended XYZ:
```
3
Lattice="3.509 0.000 0.000 -1.755 3.039 0.000 0.000 0.000 7.746" Properties=species:S:1:pos:R:3 pbc="T T T"
K 0.000 0.000 0.000
Sc 0.000 2.026 4.107
Rh 1.755 1.013 2.591
```

Output
The total energy comes out at -14.6 eV/f.u. As for the density of states at the Fermi level: 3.02 states/eV per cell.